Record 1
Entry from the Alexandria database: a geometry-optimized Ba2Al3AgAu12 structure (GGA-PBE).

Geometry as extended XYZ:
```
18
Lattice="4.430 2.558 6.718 -4.430 2.558 6.718 0.000 -5.116 6.718" Properties=species:S:1:pos:R:3 pbc="T T T"
Ba 0.000 0.000 2.309
Ba 0.000 0.000 17.845
Al -2.215 -1.279 6.718
Al -2.215 1.279 13.436
Al 0.000 2.558 6.718
Ag 0.000 0.000 10.077
Au -2.197 -1.268 9.206
Au 0.000 -2.368 6.219
Au -2.051 1.184 6.219
Au 0.000 -2.537 10.949
Au -2.197 1.268 10.949
Au -2.051 -1.184 13.936
Au 2.051 1.184 6.219
Au 2.197 -1.268 9.206
Au 0.000 2.537 9.206
Au 2.051 -1.184 13.936
Au 0.000 2.368 13.936
Au 2.197 1.268 10.949
```

***

Record 2
Entry from the Alexandria database: a geometry-optimized Ba2AlAg2Au4 structure (GGA-PBE).

Geometry as extended XYZ:
```
9
Lattice="-3.515 3.515 4.556 3.515 -3.515 4.556 3.515 3.515 -4.556" Properties=species:S:1:pos:R:3 pbc="T T T"
Ba 3.515 0.000 2.278
Ba 0.000 3.515 2.278
Al 0.000 0.000 0.000
Ag 0.000 0.000 2.779
Ag 0.000 0.000 6.333
Au 1.857 1.857 0.000
Au 1.657 -1.657 4.556
Au -1.657 1.657 4.556
Au 1.657 1.657 4.556
```

***

Record 3
Entry from the Alexandria database: a geometry-optimized BaAl2Ag2Au structure (GGA-PBE).

Geometry as extended XYZ:
```
6
Lattice="4.899 0.000 0.000 0.000 4.899 0.000 0.000 0.000 6.352" Properties=species:S:1:pos:R:3 pbc="T T T"
Ba 0.000 0.000 0.000
Al 0.000 2.450 3.176
Al 2.450 0.000 3.176
Ag 2.450 2.450 1.504
Ag 2.450 2.450 4.848
Au 0.000 0.000 3.176
```

***

Record 4
Entry from the Alexandria database: a geometry-optimized BaAlAgAu2 structure (GGA-PBE).

Geometry as extended XYZ:
```
5
Lattice="5.060 0.000 0.000 0.000 5.060 0.000 0.000 0.000 5.087" Properties=species:S:1:pos:R:3 pbc="T T T"
Ba 0.000 0.000 0.000
Al 2.530 2.530 2.544
Ag 2.530 2.530 0.000
Au 0.000 2.530 2.544
Au 2.530 0.000 2.544
```

***

Record 5
Entry from the Alexandria database: a geometry-optimized Be2AlAgAu4 structure (GGA-PBE).

Geometry as extended XYZ:
```
8
Lattice="2.120 1.224 8.171 -2.120 1.224 8.171 0.000 -2.448 8.171" Properties=species:S:1:pos:R:3 pbc="T T T"
Be 0.000 0.000 5.264
Be 0.000 0.000 19.250
Al 0.000 0.000 0.000
Ag 0.000 0.000 12.257
Au 0.000 0.000 2.648
Au 0.000 0.000 9.167
Au 0.000 0.000 15.347
Au 0.000 0.000 21.866
```

***

Record 6
Entry from the Alexandria database: a geometry-optimized BeAl2AgAu5 structure (GGA-PBE).

Geometry as extended XYZ:
```
9
Lattice="-2.204 2.827 6.703 2.204 -2.827 6.703 2.204 2.827 -6.703" Properties=species:S:1:pos:R:3 pbc="T T T"
Be 0.000 0.000 0.000
Al 2.204 0.000 2.628
Al 0.000 2.827 4.075
Ag 0.000 0.000 6.703
Au 2.204 0.000 0.000
Au 2.204 -1.380 4.833
Au 0.000 1.446 1.870
Au 2.204 1.380 4.833
Au 0.000 4.207 1.870
```

***

Record 7
Entry from the Alexandria database: a geometry-optimized CaAlAgAu6 structure (GGA-PBE).

Geometry as extended XYZ:
```
18
Lattice="-2.748 4.969 7.151 2.748 -4.969 7.151 2.748 4.969 -7.151" Properties=species:S:1:pos:R:3 pbc="T T T"
Ca 0.000 2.484 2.144
Ca 2.748 2.484 5.007
Al 2.748 0.000 0.000
Al 0.000 0.000 7.151
Ag 1.374 2.484 -3.576
Ag 1.374 -2.484 3.576
Au 1.373 -0.118 2.115
Au 4.124 -0.118 2.115
Au 2.748 -2.484 6.177
Au 2.748 2.484 0.789
Au 1.373 4.850 -2.115
Au 1.376 -0.118 5.036
Au 1.373 5.087 2.115
Au 1.376 0.118 9.267
Au 0.000 2.484 6.363
Au 0.000 7.453 0.974
Au -1.376 5.087 5.036
Au 1.376 5.087 5.036
```

***

Record 8
Entry from the Alexandria database: a geometry-optimized CaAl2AgAu4 structure (GGA-PBE).

Geometry as extended XYZ:
```
8
Lattice="2.231 1.288 9.192 -2.231 1.288 9.192 0.000 -2.576 9.192" Properties=species:S:1:pos:R:3 pbc="T T T"
Ca 0.000 0.000 0.000
Al 0.000 0.000 6.640
Al 0.000 0.000 20.935
Ag 0.000 0.000 13.787
Au 0.000 0.000 3.324
Au 0.000 0.000 10.931
Au 0.000 0.000 16.644
Au 0.000 0.000 24.251
```

***

no.,Fermi-level density of states (states/eV/f.u.),energy of formation (eV/atom)
1,7.1,-0.1648
2,2.4,-0.4511
3,2.5,-0.1760
4,2.5,-0.3927
5,1.3,-0.0918
6,2.3,-0.0959
7,2.7,-0.1625
8,1.7,-0.3972